PBE-GGA TaNbCuF2, optimized geometry; ρ = 7441 kg/m³; E = -31.77 eV/f.u.; total moment = 2.218 μB per cell; D(E_F) = 1.4476 states/eV/atom
1.0
-3.3042 -0.3071 -2.1892
-1.1160 -4.6270 2.3335
-2.0460 1.9154 2.8195
Nb F Cu Ta
1 2 1 1
Direct
0.5000 0.5000 0.5000
0.0000 0.0000 0.5000
0.5000 0.0000 0.0000
0.0000 0.5000 0.0000
0.0000 0.0000 0.0000